(1)
This record from the Alexandria database describes PrGa6Co3 after structural relaxation. The functional is PBE.

Unit cell a=5.5071 b=5.5071 c=18.5667 alpha=90.00 beta=90.00 gamma=120.00
Space group R3m (No. 160, hexagonal axes)
Inequivalent atoms, fractional coordinates:
1 Pr 0.0000 0.0000 0.0000 (multiplicity 3)
2 Ga 0.0115 0.5058 0.0988 (multiplicity 9)
3 Ga 0.1678 0.3355 0.2317 (multiplicity 9)
4 Co 0.0000 0.0000 0.3324 (multiplicity 3)
5 Co 0.0000 0.0000 0.6700 (multiplicity 3)
6 Co 0.0000 0.0000 0.8569 (multiplicity 3)

Crystal system: trigonal
Electronic total energy in eV/atom: -4.664
Volume in A^3/atom: 16.255
Magnetization in μB/atom: 0.0543

***

(2)
This record from the Alexandria database describes Tb3Nd2Y2 after structural relaxation. The functional is PBE.

Unit cell a=11.900 b=3.601 c=10.814 alpha=90.00 beta=95.70 gamma=90.00
Space group C2/m (No. 12)
Inequivalent atoms, fractional coordinates:
1 Tb 0.000 0.000 0.000 (multiplicity 2)
2 Tb 0.143 0.000 0.571 (multiplicity 4)
3 Nd 0.214 0.500 0.856 (multiplicity 4)
4 Y 0.071 0.500 0.288 (multiplicity 4)

Crystal system: monoclinic
Electronic total energy in eV/atom: -5.178
Volume in A^3/atom: 32.935
Magnetization in μB/atom: 0.0000

***

(3)
This record from the Alexandria database describes HoMgSb2O6 after structural relaxation. The functional is PBE.

Unit cell a=8.210 b=5.888 c=5.625 alpha=90.00 beta=90.00 gamma=90.00
Space group Pmn2_1 (No. 31)
Inequivalent atoms, fractional coordinates:
1 Ho 0.000 0.181 0.000 (multiplicity 2)
2 Mg 0.000 0.733 0.492 (multiplicity 2)
3 Sb 0.248 0.733 0.992 (multiplicity 4)
4 O 0.000 0.348 0.633 (multiplicity 2)
5 O 0.000 0.826 0.837 (multiplicity 2)
6 O 0.171 0.918 0.295 (multiplicity 4)
7 O 0.182 0.425 0.138 (multiplicity 4)

Crystal system: orthorhombic
Volume in A^3/atom: 13.595
Formation energy without anion corrections in eV per atom: -1.960
Magnetization in μB/atom: 0.0000

***

(4)
This record from the Alexandria database describes Li2Ho2Zn3 after structural relaxation. The functional is PBE.

Unit cell a=3.507 b=24.236 c=3.397 alpha=90.00 beta=90.00 gamma=90.00
Space group Cmmm (No. 65)
Inequivalent atoms, fractional coordinates:
1 Li 0.000 0.207 0.000 (multiplicity 4)
2 Ho 0.000 0.074 0.000 (multiplicity 4)
3 Zn 0.000 0.348 0.500 (multiplicity 4)
4 Zn 0.000 0.500 0.500 (multiplicity 2)

Crystal system: orthorhombic
Electronic total energy in eV/atom: -2.590
Volume in A^3/atom: 20.625
Magnetization in μB/atom: 0.0000

***

Q: The lowest volume belongs to which entry?
A: HoMgSb2O6

***

Q: Which value of magnetization does entry 4 give?
A: 0.0000 μB/atom